*i*
This record from Alexandria describes a relaxed structure of ZrCu2Cl. The functional is GGA-PBE.

```
data_ZrCu2Cl
_chemical_formula_sum 'Zr2 Cu4 Cl2'
_symmetry_space_group_name_H-M 'I m m 2'
_symmetry_Int_Tables_number 44
_cell_length_a 3.537
_cell_length_b 4.593
_cell_length_c 8.195
_cell_angle_alpha 90.00
_cell_angle_beta 90.00
_cell_angle_gamma 90.00
loop_
_symmetry_equiv_pos_as_xyz
'x,y,z'
'-x,-y,z'
'-x,y,z'
'x,-y,z'
'x+1/2,y+1/2,z+1/2'
'-x+1/2,-y+1/2,z+1/2'
'-x+1/2,y+1/2,z+1/2'
'x+1/2,-y+1/2,z+1/2'
loop_
_atom_site_label
_atom_site_type_symbol
_atom_site_fract_x
_atom_site_fract_y
_atom_site_fract_z
Zr1 Zr 0.000 0.000 0.000
Cu1 Cu 0.000 0.000 0.512
Cu2 Cu 0.000 0.500 0.231
Cl1 Cl 0.000 0.500 0.756
```



*ii*
This record from Alexandria describes a relaxed structure of ZrCu2Cl. The functional is GGA-PBE.

```
data_ZrCu2Cl
_chemical_formula_sum 'Zr2 Cu4 Cl2'
_symmetry_space_group_name_H-M 'C 1 2/m 1'
_symmetry_Int_Tables_number 12
_cell_length_a 11.020
_cell_length_b 3.005
_cell_length_c 4.331
_cell_angle_alpha 90.00
_cell_angle_beta 113.04
_cell_angle_gamma 90.00
loop_
_symmetry_equiv_pos_as_xyz
'x,y,z'
'-x,-y,-z'
'-x,y,-z'
'x,-y,z'
'x+1/2,y+1/2,z'
'-x+1/2,-y+1/2,-z'
'-x+1/2,y+1/2,-z'
'x+1/2,-y+1/2,z'
loop_
_atom_site_label
_atom_site_type_symbol
_atom_site_fract_x
_atom_site_fract_y
_atom_site_fract_z
Zr1 Zr 0.000 0.000 0.000
Cu1 Cu 0.243 0.500 0.242
Cl1 Cl 0.000 0.500 0.500
```



*iii*
This record from Alexandria describes a relaxed structure of ZrCu2Cl. The functional is GGA-PBE.

```
data_ZrCu2Cl
_chemical_formula_sum 'Zr1 Cu2 Cl1'
_symmetry_space_group_name_H-M 'P 1 2/m 1'
_symmetry_Int_Tables_number 10
_cell_length_a 3.032
_cell_length_b 4.438
_cell_length_c 5.082
_cell_angle_alpha 90.00
_cell_angle_beta 104.87
_cell_angle_gamma 90.00
loop_
_symmetry_equiv_pos_as_xyz
'x,y,z'
'-x,-y,-z'
'-x,y,-z'
'x,-y,z'
loop_
_atom_site_label
_atom_site_type_symbol
_atom_site_fract_x
_atom_site_fract_y
_atom_site_fract_z
Zr1 Zr 0.000 0.000 0.000
Cu1 Cu 0.374 0.500 0.747
Cl1 Cl 0.500 0.000 0.500
```



Q: Which of them is the most stable? A: *ii*.



*i*
This record from Alexandria describes a relaxed structure of ZrCu2Cl. The functional is GGA-PBE.

```
data_ZrCu2Cl
_chemical_formula_sum 'Zr4 Cu8 Cl4'
_symmetry_space_group_name_H-M 'I -4 2 d'
_symmetry_Int_Tables_number 122
_symmetry_space_group_name_Hall 'I -4 2bw'
_cell_length_a 7.424
_cell_length_b 7.424
_cell_length_c 5.039
_cell_angle_alpha 90.00
_cell_angle_beta 90.00
_cell_angle_gamma 90.00
loop_
_atom_site_label
_atom_site_type_symbol
_atom_site_fract_x
_atom_site_fract_y
_atom_site_fract_z
Zr1 Zr 0.000 0.000 0.000
Cu1 Cu 0.233 0.750 0.625
Cl1 Cl 0.000 0.000 0.500
```



*ii*
This record from Alexandria describes a relaxed structure of ZrCu2Cl. The functional is GGA-PBE.

```
data_ZrCu2Cl
_chemical_formula_sum 'Zr3 Cu6 Cl3'
_symmetry_space_group_name_H-M 'R -3 m'
_symmetry_Int_Tables_number 166
_symmetry_space_group_name_Hall '-R 3 2"'
_cell_length_a 3.2261
_cell_length_b 3.2261
_cell_length_c 23.8188
_cell_angle_alpha 90.00
_cell_angle_beta 90.00
_cell_angle_gamma 120.00
loop_
_atom_site_label
_atom_site_type_symbol
_atom_site_fract_x
_atom_site_fract_y
_atom_site_fract_z
Zr1 Zr 0.0000 0.0000 0.0000
Cu1 Cu 0.0000 0.0000 0.2446
Cl1 Cl 0.0000 0.0000 0.5000
```



Q: Which of them is the most stable? A: *i*.



*i*
This record from Alexandria describes a relaxed structure of ZrCu2Cl6. The functional is GGA-PBE.

```
data_ZrCu2Cl6
_chemical_formula_sum 'Zr4 Cu8 Cl24'
_symmetry_space_group_name_H-M 'C 1 2/c 1'
_symmetry_Int_Tables_number 15
_cell_length_a 13.521
_cell_length_b 14.158
_cell_length_c 6.161
_cell_angle_alpha 90.00
_cell_angle_beta 99.92
_cell_angle_gamma 90.00
loop_
_symmetry_equiv_pos_as_xyz
'x,y,z'
'-x,-y,-z'
'-x,y,-z+1/2'
'x,-y,z+1/2'
'x+1/2,y+1/2,z'
'-x+1/2,-y+1/2,-z'
'-x+1/2,y+1/2,-z+1/2'
'x+1/2,-y+1/2,z+1/2'
loop_
_atom_site_label
_atom_site_type_symbol
_atom_site_fract_x
_atom_site_fract_y
_atom_site_fract_z
Zr1 Zr 0.000 0.091 0.250
Cu1 Cu 0.101 0.500 0.305
Cl1 Cl 0.105 0.055 0.616
Cl2 Cl 0.113 0.396 0.560
Cl3 Cl 0.115 0.197 0.139
```



*ii*
This record from Alexandria describes a relaxed structure of ZrCu2Cl6. The functional is GGA-PBE.

```
data_ZrCu2Cl6
_chemical_formula_sum 'Zr3 Cu6 Cl18'
_symmetry_space_group_name_H-M 'P 1'
_symmetry_Int_Tables_number 1
_cell_length_a 6.130
_cell_length_b 11.750
_cell_length_c 11.816
_cell_angle_alpha 61.82
_cell_angle_beta 88.82
_cell_angle_gamma 89.57
loop_
_symmetry_equiv_pos_as_xyz
'x,y,z'
loop_
_atom_site_label
_atom_site_type_symbol
_atom_site_fract_x
_atom_site_fract_y
_atom_site_fract_z
Zr1 Zr 0.000 0.000 0.000
Zr2 Zr 0.031 0.340 0.329
Zr3 Zr 0.527 0.667 0.664
Cu1 Cu 0.090 0.735 0.729
Cu2 Cu 0.430 0.064 0.066
Cu3 Cu 0.453 0.420 0.409
Cu4 Cu 0.464 0.195 0.401
Cu5 Cu 0.576 0.934 0.930
Cu6 Cu 0.952 0.598 0.595
Cl1 Cl 0.228 0.894 0.198
Cl2 Cl 0.235 0.200 0.899
Cl3 Cl 0.235 0.898 0.892
Cl4 Cl 0.261 0.541 0.236
Cl5 Cl 0.263 0.235 0.544
Cl6 Cl 0.268 0.233 0.231
Cl7 Cl 0.286 0.566 0.863
Cl8 Cl 0.293 0.869 0.559
Cl9 Cl 0.301 0.561 0.560
Cl10 Cl 0.746 0.775 0.766
Cl11 Cl 0.757 0.467 0.769
Cl12 Cl 0.762 0.771 0.463
Cl13 Cl 0.768 0.102 0.106
Cl14 Cl 0.769 0.799 0.099
Cl15 Cl 0.776 0.106 0.799
Cl16 Cl 0.797 0.428 0.151
Cl17 Cl 0.803 0.436 0.449
Cl18 Cl 0.809 0.132 0.443
```



Q: Which of them is the most stable? A: *ii*.



*i*
This record from Alexandria describes a relaxed structure of DyErCl. The functional is GGA-PBE.

```
data_DyErCl
_chemical_formula_sum 'Dy2 Er2 Cl2'
_symmetry_space_group_name_H-M 'P 1 21/m 1'
_symmetry_Int_Tables_number 11
_cell_length_a 3.489
_cell_length_b 3.489
_cell_length_c 14.574
_cell_angle_alpha 90.00
_cell_angle_beta 90.31
_cell_angle_gamma 90.00
loop_
_symmetry_equiv_pos_as_xyz
'x,y,z'
'-x,-y,-z'
'-x,y+1/2,-z'
'x,-y+1/2,z'
loop_
_atom_site_label
_atom_site_type_symbol
_atom_site_fract_x
_atom_site_fract_y
_atom_site_fract_z
Dy1 Dy 0.243 0.250 0.234
Er1 Er 0.253 0.250 0.588
Cl1 Cl 0.259 0.250 0.874
```



*ii*
This record from Alexandria describes a relaxed structure of DyErCl. The functional is GGA-PBE.

```
data_DyErCl
_chemical_formula_sum 'Dy1 Er1 Cl1'
_symmetry_space_group_name_H-M 'P 3 m 1'
_symmetry_Int_Tables_number 156
_cell_length_a 3.6463
_cell_length_b 3.6463
_cell_length_c 6.9483
_cell_angle_alpha 90.00
_cell_angle_beta 90.00
_cell_angle_gamma 120.00
loop_
_symmetry_equiv_pos_as_xyz
'x,y,z'
'-y,x-y,z'
'-x+y,-x,z'
'-y,-x,z'
'-x+y,y,z'
'x,x-y,z'
loop_
_atom_site_label
_atom_site_type_symbol
_atom_site_fract_x
_atom_site_fract_y
_atom_site_fract_z
Dy1 Dy 0.0000 0.0000 0.0000
Er1 Er 0.6667 0.3333 0.3786
Cl1 Cl 0.3333 0.6667 0.6873
```



Q: Which of them is the most stable? A: *ii*.



*i*
This record from Alexandria describes a relaxed structure of DyCl2F. The functional is GGA-PBE.

```
data_DyCl2F
_chemical_formula_sum 'Dy2 Cl4 F2'
_symmetry_space_group_name_H-M 'I m m m'
_symmetry_Int_Tables_number 71
_symmetry_space_group_name_Hall '-I 2 2'
_cell_length_a 3.988
_cell_length_b 4.360
_cell_length_c 13.059
_cell_angle_alpha 90.00
_cell_angle_beta 90.00
_cell_angle_gamma 90.00
loop_
_atom_site_label
_atom_site_type_symbol
_atom_site_fract_x
_atom_site_fract_y
_atom_site_fract_z
Dy1 Dy 0.000 0.000 0.000
Cl1 Cl 0.000 0.500 0.364
F1 F 0.000 0.500 0.000
```



*ii*
This record from Alexandria describes a relaxed structure of DyCl2F. The functional is GGA-PBE.

```
data_DyCl2F
_chemical_formula_sum 'Dy4 Cl8 F4'
_symmetry_space_group_name_H-M 'C m c m'
_symmetry_Int_Tables_number 63
_symmetry_space_group_name_Hall '-C 2c 2'
_cell_length_a 3.669
_cell_length_b 13.210
_cell_length_c 8.206
_cell_angle_alpha 90.00
_cell_angle_beta 90.00
_cell_angle_gamma 90.00
loop_
_atom_site_label
_atom_site_type_symbol
_atom_site_fract_x
_atom_site_fract_y
_atom_site_fract_z
Dy1 Dy 0.000 0.244 0.250
Cl1 Cl 0.000 0.146 0.557
F1 F 0.000 0.345 0.750
```



Q: Which of them is the most stable? A: *i*.



*i*
This record from Alexandria describes a relaxed structure of DyClF. The functional is GGA-PBE.

```
data_DyClF
_chemical_formula_sum 'Dy1 Cl1 F1'
_symmetry_space_group_name_H-M 'P 3 m 1'
_symmetry_Int_Tables_number 156
_cell_length_a 4.1512
_cell_length_b 4.1512
_cell_length_c 3.5027
_cell_angle_alpha 90.00
_cell_angle_beta 90.00
_cell_angle_gamma 120.00
loop_
_symmetry_equiv_pos_as_xyz
'x,y,z'
'-y,x-y,z'
'-x+y,-x,z'
'-y,-x,z'
'-x+y,y,z'
'x,x-y,z'
loop_
_atom_site_label
_atom_site_type_symbol
_atom_site_fract_x
_atom_site_fract_y
_atom_site_fract_z
Dy1 Dy 0.0000 0.0000 0.0000
Cl1 Cl 0.6667 0.3333 0.4629
F1 F 0.3333 0.6667 0.9651
```



*ii*
This record from Alexandria describes a relaxed structure of DyClF. The functional is GGA-PBE.

```
data_DyClF
_chemical_formula_sum 'Dy2 Cl2 F2'
_symmetry_space_group_name_H-M 'P 1 21/m 1'
_symmetry_Int_Tables_number 11
_cell_length_a 4.457
_cell_length_b 4.460
_cell_length_c 6.615
_cell_angle_alpha 90.00
_cell_angle_beta 96.43
_cell_angle_gamma 90.00
loop_
_symmetry_equiv_pos_as_xyz
'x,y,z'
'-x,-y,-z'
'-x,y+1/2,-z'
'x,-y+1/2,z'
loop_
_atom_site_label
_atom_site_type_symbol
_atom_site_fract_x
_atom_site_fract_y
_atom_site_fract_z
Dy1 Dy 0.250 0.250 0.000
Cl1 Cl 0.206 0.750 0.733
F1 F 0.278 0.750 0.164
```



Q: Which of them is the most stable? A: *i*.